No. 1
VASP calculation (PBE) on a relaxed structure of RbNaI2.

a = 7.480 Å, b = 5.148 Å, c = 20.410 Å
α = 90.00°, β = 90.00°, γ = 90.00°
Fractional coordinates of all 16 atoms:
Rb1 0.248 0.250 0.061
Rb2 0.252 0.750 0.561
Rb3 0.748 0.250 0.439
Rb4 0.752 0.750 0.939
Na1 0.203 0.750 0.327
Na2 0.297 0.250 0.827
Na3 0.703 0.750 0.173
Na4 0.797 0.250 0.673
I1 0.213 0.250 0.681
I2 0.247 0.750 0.923
I3 0.253 0.250 0.423
I4 0.287 0.750 0.181
I5 0.713 0.250 0.819
I6 0.747 0.750 0.577
I7 0.753 0.250 0.077
I8 0.787 0.750 0.319

Calculated values
- energy above the lowest structure with this stoichiometry (eV/atom) = 0.0264
- formation energy without anion corrections (eV/atom) = -1.33

No. 2
VASP calculation (PBE) on a relaxed structure of Rb2NaI4.

a = 10.230 Å, b = 10.230 Å, c = 10.230 Å
α = 145.20°, β = 145.20°, γ = 50.04°
Fractional coordinates of all 7 atoms:
Rb1 0.131 0.131 0.000
Rb2 0.869 0.869 0.000
Na1 0.500 0.500 0.000
I1 0.000 0.500 0.500
I2 0.327 0.327 0.000
I3 0.500 0.000 0.500
I4 0.673 0.673 0.000

Calculated values
- formation energy without anion corrections (eV/atom) = -1.06

No. 3
VASP calculation (PBE) on a relaxed structure of Rb2NaI2.

a = 8.539 Å, b = 8.539 Å, c = 8.539 Å
α = 131.90°, β = 131.90°, γ = 70.39°
Fractional coordinates of all 5 atoms:
Rb1 0.185 0.185 0.000
Rb2 0.815 0.815 0.000
Na1 0.500 0.500 0.000
I1 0.250 0.750 0.500
I2 0.750 0.250 0.500

Calculated values
- energy above the lowest structure with this stoichiometry (eV/atom) = 0.1452
- formation energy without anion corrections (eV/atom) = -0.90

Number 1: electronic total energy -2.679 eV per atom. Number 2: electronic total energy -2.414 eV per atom. Number 3: electronic total energy -2.166 eV per atom.